[1]
# RbLi3Ca | Alexandria via LeMat-Bulk | PBE | relaxed
data_RbLi3Ca
_cell_length_a 5.7285
_cell_length_b 5.7285
_cell_length_c 5.7285
_cell_angle_alpha 90.00
_cell_angle_beta 90.00
_cell_angle_gamma 90.00
_symmetry_space_group_name_H-M 'P m -3 m'
_symmetry_Int_Tables_number 221
_symmetry_space_group_name_Hall '-P 4 2 3'
loop_
_atom_site_label
_atom_site_fract_x
_atom_site_fract_y
_atom_site_fract_z
Rb1 0.0000 0.0000 0.0000
Li1 0.0000 0.0000 0.5000
Ca1 0.5000 0.5000 0.5000
# total moment: 0.00 μB/atom
# total DFT energy (no corrections): -1.166 eV per atom
# formation enthalpy at 0 K: 0.58 eV per atom

[2]
# Rb3LiCa | Alexandria via LeMat-Bulk | PBE | relaxed
data_Rb3LiCa
_cell_length_a 7.0823
_cell_length_b 7.0823
_cell_length_c 7.0823
_cell_angle_alpha 90.00
_cell_angle_beta 90.00
_cell_angle_gamma 90.00
_symmetry_space_group_name_H-M 'P m -3 m'
_symmetry_Int_Tables_number 221
_symmetry_space_group_name_Hall '-P 4 2 3'
loop_
_atom_site_label
_atom_site_fract_x
_atom_site_fract_y
_atom_site_fract_z
Rb1 0.0000 0.0000 0.5000
Li1 0.0000 0.0000 0.0000
Ca1 0.5000 0.5000 0.5000
# total moment: 0.00 μB/atom
# total DFT energy (no corrections): -1.030 eV per atom
# formation enthalpy at 0 K: 0.33 eV per atom

[3]
# RbLiCa | Alexandria via LeMat-Bulk | PBE | relaxed
data_RbLiCa
_cell_length_a 6.5811
_cell_length_b 6.2559
_cell_length_c 14.3582
_cell_angle_alpha 90.00
_cell_angle_beta 97.03
_cell_angle_gamma 90.00
_symmetry_space_group_name_H-M 'C 1 2/m 1'
_symmetry_Int_Tables_number 12
_symmetry_space_group_name_Hall '-C 2y'
loop_
_atom_site_label
_atom_site_fract_x
_atom_site_fract_y
_atom_site_fract_z
Rb1 0.2125 0.0000 0.3578
Li1 0.1523 0.0000 0.0729
Ca1 0.1555 0.5000 0.1275
# total moment: 0.00 μB/atom
# total DFT energy (no corrections): -1.486 eV per atom
# formation enthalpy at 0 K: 0.14 eV per atom

[4]
# RbLi2Ca2 | Alexandria via LeMat-Bulk | PBE | relaxed
data_RbLi2Ca2
_cell_length_a 3.9703
_cell_length_b 3.9703
_cell_length_c 25.7588
_cell_angle_alpha 90.00
_cell_angle_beta 90.00
_cell_angle_gamma 90.00
_symmetry_space_group_name_H-M 'I 4/m m m'
_symmetry_Int_Tables_number 139
_symmetry_space_group_name_Hall '-I 4 2'
loop_
_atom_site_label
_atom_site_fract_x
_atom_site_fract_y
_atom_site_fract_z
Rb1 0.0000 0.0000 0.0000
Li1 0.0000 0.5000 0.2500
Ca1 0.0000 0.0000 0.3585
# total moment: 0.00 μB/atom
# total DFT energy (no corrections): -1.581 eV per atom
# formation enthalpy at 0 K: 0.18 eV per atom

[5]
# RbLi3Ca | Alexandria via LeMat-Bulk | PBE | relaxed
data_RbLi3Ca
_cell_length_a 6.2628
_cell_length_b 6.2628
_cell_length_c 6.2628
_cell_angle_alpha 90.00
_cell_angle_beta 90.00
_cell_angle_gamma 90.00
_symmetry_space_group_name_H-M 'P m -3 m'
_symmetry_Int_Tables_number 221
_symmetry_space_group_name_Hall '-P 4 2 3'
loop_
_atom_site_label
_atom_site_fract_x
_atom_site_fract_y
_atom_site_fract_z
Rb1 0.0000 0.0000 0.0000
Li1 0.0000 0.5000 0.5000
Ca1 0.5000 0.5000 0.5000
# total moment: 0.00 μB/atom
# total DFT energy (no corrections): -1.274 eV per atom
# formation enthalpy at 0 K: 0.47 eV per atom

[6]
# RbLiCa | Alexandria via LeMat-Bulk | PBE | relaxed
data_RbLiCa
_cell_length_a 4.1597
_cell_length_b 4.1597
_cell_length_c 16.2324
_cell_angle_alpha 90.00
_cell_angle_beta 90.00
_cell_angle_gamma 90.00
_symmetry_space_group_name_H-M 'I 4 m m'
_symmetry_Int_Tables_number 107
_symmetry_space_group_name_Hall 'I 4 -2'
loop_
_atom_site_label
_atom_site_fract_x
_atom_site_fract_y
_atom_site_fract_z
Rb1 0.0000 0.0000 0.0000
Li1 0.0000 0.0000 0.6722
Ca1 0.0000 0.0000 0.2829
# total moment: 0.00 μB/atom
# total DFT energy (no corrections): -1.450 eV per atom
# formation enthalpy at 0 K: 0.18 eV per atom

[7]
# RbLi2Ca2 | Alexandria via LeMat-Bulk | PBE | relaxed
data_RbLi2Ca2
_cell_length_a 9.9455
_cell_length_b 9.9455
_cell_length_c 4.0114
_cell_angle_alpha 90.00
_cell_angle_beta 90.00
_cell_angle_gamma 90.00
_symmetry_space_group_name_H-M 'P 4/m b m'
_symmetry_Int_Tables_number 127
_symmetry_space_group_name_Hall '-P 4 2ab'
loop_
_atom_site_label
_atom_site_fract_x
_atom_site_fract_y
_atom_site_fract_z
Rb1 0.0000 0.0000 0.0000
Li1 0.1448 0.3552 0.0000
Ca1 0.1395 0.6395 0.5000
# total moment: 0.00 μB/atom
# total DFT energy (no corrections): -1.617 eV per atom
# formation enthalpy at 0 K: 0.14 eV per atom

[8]
# RbLi2CaRh | Alexandria via LeMat-Bulk | PBE | relaxed
data_RbLi2CaRh
_cell_length_a 5.3426
_cell_length_b 5.3426
_cell_length_c 5.2721
_cell_angle_alpha 90.00
_cell_angle_beta 90.00
_cell_angle_gamma 90.00
_symmetry_space_group_name_H-M 'P 4/m m m'
_symmetry_Int_Tables_number 123
_symmetry_space_group_name_Hall '-P 4 2'
loop_
_atom_site_label
_atom_site_fract_x
_atom_site_fract_y
_atom_site_fract_z
Rb1 0.0000 0.0000 0.0000
Li1 0.0000 0.5000 0.5000
Ca1 0.5000 0.5000 0.0000
Rh1 0.5000 0.5000 0.5000
# total moment: 0.00 μB/atom
# total DFT energy (no corrections): -2.725 eV per atom
# formation enthalpy at 0 K: 0.10 eV per atom

[9]
# Rb2LiCaRu | Alexandria via LeMat-Bulk | PBE | relaxed
data_Rb2LiCaRu
_cell_length_a 7.2740
_cell_length_b 7.2740
_cell_length_c 5.7364
_cell_angle_alpha 90.00
_cell_angle_beta 90.00
_cell_angle_gamma 90.00
_symmetry_space_group_name_H-M 'P 4/m m m'
_symmetry_Int_Tables_number 123
_symmetry_space_group_name_Hall '-P 4 2'
loop_
_atom_site_label
_atom_site_fract_x
_atom_site_fract_y
_atom_site_fract_z
Rb1 0.0000 0.5000 0.0000
Li1 0.0000 0.0000 0.5000
Ca1 0.0000 0.0000 0.0000
Ru1 0.5000 0.5000 0.5000
# total moment: 0.33 μB/atom
# total DFT energy (no corrections): -1.480 eV per atom
# formation enthalpy at 0 K: 1.54 eV per atom

[10]
# RbLiCaSb2 | Alexandria via LeMat-Bulk | PBE | relaxed
data_RbLiCaSb2
_cell_length_a 5.8588
_cell_length_b 5.8588
_cell_length_c 6.0818
_cell_angle_alpha 90.00
_cell_angle_beta 90.00
_cell_angle_gamma 90.00
_symmetry_space_group_name_H-M 'P 4/m m m'
_symmetry_Int_Tables_number 123
_symmetry_space_group_name_Hall '-P 4 2'
loop_
_atom_site_label
_atom_site_fract_x
_atom_site_fract_y
_atom_site_fract_z
Rb1 0.0000 0.0000 0.0000
Li1 0.5000 0.5000 0.0000
Ca1 0.0000 0.0000 0.5000
Sb1 0.0000 0.5000 0.5000
# total moment: 0.00 μB/atom
# uncorrected formation energy: 90 meV per atom
# total DFT energy (no corrections): -2.535 eV per atom

[11]
# RbSr2LiCa | Alexandria via LeMat-Bulk | PBE | relaxed
data_RbSr2LiCa
_cell_length_a 6.5255
_cell_length_b 6.5255
_cell_length_c 6.3139
_cell_angle_alpha 90.00
_cell_angle_beta 90.00
_cell_angle_gamma 90.00
_symmetry_space_group_name_H-M 'P 4/m m m'
_symmetry_Int_Tables_number 123
_symmetry_space_group_name_Hall '-P 4 2'
loop_
_atom_site_label
_atom_site_fract_x
_atom_site_fract_y
_atom_site_fract_z
Rb1 0.0000 0.0000 0.0000
Sr1 0.0000 0.5000 0.5000
Li1 0.5000 0.5000 0.5000
Ca1 0.5000 0.5000 0.0000
# total moment: 0.00 μB/atom
# total DFT energy (no corrections): -1.467 eV per atom
# formation enthalpy at 0 K: 0.18 eV per atom

[12]
# Rb2LiCaW | Alexandria via LeMat-Bulk | PBE | relaxed
data_Rb2LiCaW
_cell_length_a 7.0007
_cell_length_b 7.0007
_cell_length_c 5.5089
_cell_angle_alpha 90.00
_cell_angle_beta 90.00
_cell_angle_gamma 90.00
_symmetry_space_group_name_H-M 'P 4/m m m'
_symmetry_Int_Tables_number 123
_symmetry_space_group_name_Hall '-P 4 2'
loop_
_atom_site_label
_atom_site_fract_x
_atom_site_fract_y
_atom_site_fract_z
Rb1 0.0000 0.5000 0.0000
Li1 0.0000 0.0000 0.5000
Ca1 0.5000 0.5000 0.5000
W1 0.0000 0.0000 0.0000
# total moment: 1.05 μB/atom
# total DFT energy (no corrections): -2.291 eV per atom
# formation enthalpy at 0 K: 1.47 eV per atom

[13]
# RbLiCa2Zn | Alexandria via LeMat-Bulk | PBE | relaxed
data_RbLiCa2Zn
_cell_length_a 5.9412
_cell_length_b 5.9412
_cell_length_c 5.6118
_cell_angle_alpha 90.00
_cell_angle_beta 90.00
_cell_angle_gamma 90.00
_symmetry_space_group_name_H-M 'P 4/m m m'
_symmetry_Int_Tables_number 123
_symmetry_space_group_name_Hall '-P 4 2'
loop_
_atom_site_label
_atom_site_fract_x
_atom_site_fract_y
_atom_site_fract_z
Rb1 0.0000 0.0000 0.0000
Li1 0.5000 0.5000 0.0000
Ca1 0.0000 0.5000 0.5000
Zn1 0.5000 0.5000 0.5000
# total moment: 0.00 μB/atom
# total DFT energy (no corrections): -1.523 eV per atom
# formation enthalpy at 0 K: 0.11 eV per atom

[14]
# LiCa3Re | Alexandria via LeMat-Bulk | PBE | relaxed
data_LiCa3Re
_cell_length_a 5.3333
_cell_length_b 5.3333
_cell_length_c 5.3333
_cell_angle_alpha 90.00
_cell_angle_beta 90.00
_cell_angle_gamma 90.00
_symmetry_space_group_name_H-M 'P m -3 m'
_symmetry_Int_Tables_number 221
_symmetry_space_group_name_Hall '-P 4 2 3'
loop_
_atom_site_label
_atom_site_fract_x
_atom_site_fract_y
_atom_site_fract_z
Li1 0.0000 0.0000 0.0000
Ca1 0.0000 0.0000 0.5000
Re1 0.5000 0.5000 0.5000
# total moment: 0.36 μB/atom
# total DFT energy (no corrections): -2.827 eV per atom
# formation enthalpy at 0 K: 1.25 eV per atom

[15]
# LiCa2Re | Alexandria via LeMat-Bulk | PBE | relaxed
data_LiCa2Re
_cell_length_a 7.2651
_cell_length_b 7.2651
_cell_length_c 7.2651
_cell_angle_alpha 90.00
_cell_angle_beta 90.00
_cell_angle_gamma 90.00
_symmetry_space_group_name_H-M 'F m -3 m'
_symmetry_Int_Tables_number 225
_symmetry_space_group_name_Hall '-F 4 2 3'
loop_
_atom_site_label
_atom_site_fract_x
_atom_site_fract_y
_atom_site_fract_z
Li1 0.0000 0.0000 0.0000
Ca1 0.2500 0.2500 0.2500
Re1 0.0000 0.0000 0.5000
# total moment: 0.48 μB/atom
# total DFT energy (no corrections): -3.904 eV per atom
# formation enthalpy at 0 K: 0.69 eV per atom

[16]
# LiCa2Re | Alexandria via LeMat-Bulk | PBE | relaxed
data_LiCa2Re
_cell_length_a 3.0254
_cell_length_b 5.4100
_cell_length_c 11.3698
_cell_angle_alpha 90.00
_cell_angle_beta 90.00
_cell_angle_gamma 90.00
_symmetry_space_group_name_H-M 'I m m 2'
_symmetry_Int_Tables_number 44
_symmetry_space_group_name_Hall 'I 2 -2'
loop_
_atom_site_label
_atom_site_fract_x
_atom_site_fract_y
_atom_site_fract_z
Li1 0.0000 0.0000 0.0000
Ca1 0.0000 0.0000 0.4221
Ca2 0.0000 0.5000 0.2221
Re1 0.0000 0.5000 0.6931
# total moment: 0.00 μB/atom
# total DFT energy (no corrections): -3.977 eV per atom
# formation enthalpy at 0 K: 0.61 eV per atom

[17]
# LiCaRe | Alexandria via LeMat-Bulk | PBE | relaxed
data_LiCaRe
_cell_length_a 6.4074
_cell_length_b 6.4074
_cell_length_c 6.4074
_cell_angle_alpha 90.00
_cell_angle_beta 90.00
_cell_angle_gamma 90.00
_symmetry_space_group_name_H-M 'F -4 3 m'
_symmetry_Int_Tables_number 216
_symmetry_space_group_name_Hall 'F -4 2 3'
loop_
_atom_site_label
_atom_site_fract_x
_atom_site_fract_y
_atom_site_fract_z
Li1 0.0000 0.0000 0.0000
Ca1 0.2500 0.2500 0.7500
Re1 0.2500 0.2500 0.2500
# total moment: 0.72 μB/atom
# total DFT energy (no corrections): -4.069 eV per atom
# formation enthalpy at 0 K: 1.39 eV per atom

[18]
# LiCaRe2 | Alexandria via LeMat-Bulk | PBE | relaxed
data_LiCaRe2
_cell_length_a 6.3959
_cell_length_b 6.3959
_cell_length_c 6.3959
_cell_angle_alpha 90.00
_cell_angle_beta 90.00
_cell_angle_gamma 90.00
_symmetry_space_group_name_H-M 'F -4 3 m'
_symmetry_Int_Tables_number 216
_symmetry_space_group_name_Hall 'F -4 2 3'
loop_
_atom_site_label
_atom_site_fract_x
_atom_site_fract_y
_atom_site_fract_z
Li1 0.0000 0.0000 0.0000
Ca1 0.2500 0.2500 0.7500
Re1 0.0000 0.0000 0.5000
Re2 0.2500 0.2500 0.2500
# total moment: 0.00 μB/atom
# total DFT energy (no corrections): -6.724 eV per atom
# formation enthalpy at 0 K: 0.48 eV per atom

[19]
# LiCa2Re | Alexandria via LeMat-Bulk | PBE | relaxed
data_LiCa2Re
_cell_length_a 2.9877
_cell_length_b 5.2471
_cell_length_c 5.6907
_cell_angle_alpha 90.00
_cell_angle_beta 90.12
_cell_angle_gamma 90.00
_symmetry_space_group_name_H-M 'P 1 m 1'
_symmetry_Int_Tables_number 6
_symmetry_space_group_name_Hall 'P -2y'
loop_
_atom_site_label
_atom_site_fract_x
_atom_site_fract_y
_atom_site_fract_z
Li1 0.0000 0.0000 0.0000
Ca1 0.4954 0.5000 0.8095
Ca2 0.4999 0.0000 0.4409
Re1 0.9968 0.5000 0.2964
# total moment: 0.00 μB/atom
# total DFT energy (no corrections): -3.991 eV per atom
# formation enthalpy at 0 K: 0.60 eV per atom

[20]
# LiCaRe2 | Alexandria via LeMat-Bulk | PBE | relaxed
data_LiCaRe2
_cell_length_a 3.1480
_cell_length_b 4.2880
_cell_length_c 9.9907
_cell_angle_alpha 90.00
_cell_angle_beta 90.00
_cell_angle_gamma 90.00
_symmetry_space_group_name_H-M 'I m m m'
_symmetry_Int_Tables_number 71
_symmetry_space_group_name_Hall '-I 2 2'
loop_
_atom_site_label
_atom_site_fract_x
_atom_site_fract_y
_atom_site_fract_z
Li1 0.0000 0.0000 0.0000
Ca1 0.0000 0.0000 0.5000
Re1 0.0000 0.5000 0.2574
# total moment: 0.00 μB/atom
# total DFT energy (no corrections): -6.734 eV per atom
# formation enthalpy at 0 K: 0.47 eV per atom